A relaxed structure of Dy4TmPbS8. Source: Alexandria via LeMat-Bulk, functional PBE.

Properties
V: 379.5 Å³/f.u.
E_form (uncorrected): -1768 meV/atom
Crystal system: trigonal
Space-group type: R3m, No. 160
Spin magnetization: 0.0 Bohr magnetons per cell
DFT total energy: -6.03 eV/atom

a = 8.148 Å, b = 8.148 Å, c = 8.105 Å
α = 59.83°, β = 59.83°, γ = 60.00°
Atoms (fractional coordinates):
1 Dy 0.002 0.002 0.502
2 Dy 0.002 0.494 0.502
3 S 0.234 0.234 0.740
4 S 0.758 0.758 0.727
5 S 0.237 0.237 0.289
6 Pb 0.376 0.376 0.872
7 S 0.234 0.793 0.740
8 Tm 0.002 0.002 0.995
9 Dy 0.494 0.002 0.502
10 Dy 0.625 0.625 0.126
11 S 0.225 0.760 0.255
12 S 0.760 0.225 0.255
13 S 0.793 0.234 0.740
14 S 0.760 0.760 0.255